The following is a DFT calculation (GGA-PBE) of a relaxed BeSnP crystal.

- N(E_F) (states/eV/cell) = 2.39
- formation energy (eV/f.u.) = -0.10
- polymorph energy (0 for the lowest one) (eV per atom) = 0.017
- raw total energy (eV/atom) = -4.4119
- mass density (kg/m3) = 4244

a b c (Å): 5.576 3.597 6.191
angles (deg): 90.00 90.00 90.00
Positions (direct):
P 0.500 0.000 0.608
P 0.500 0.500 0.108
Sn 0.000 0.000 0.605
Sn 0.000 0.500 0.105
Be 0.500 0.000 0.942
Be 0.500 0.500 0.442